First-principles (PBE) data for a relaxed structure of CaTmAsS, as listed in Alexandria via LeMat-Bulk.

The space group is R3m (No. 160, hexagonal axes) and the conventional cell measures 4.0613, 4.0613 and 20.0417 Å, with angles of 90.00, 90.00 and 120.00 degrees. Symmetry generates all atoms from Ca at (0.0000, 0.0000, 0.0000), Tm at (0.0000, 0.0000, 0.4982), As at (0.0000, 0.0000, 0.7545) and S at (0.0000, 0.0000, 0.2454).

For the total energy, the calculation gives -5.5594 eV/atom. As for the density of states at the Fermi level: 0.0071 states/eV/atom.

---

First-principles (PBE) data for a relaxed structure of CaYAs2S, as listed in Alexandria via LeMat-Bulk.

The space group is P4/mmm (No. 123) and the conventional cell measures 5.076, 5.076 and 13.823 Å, with angles of 90.00, 90.00 and 90.00 degrees. Symmetry generates all atoms from Ca at (0.000, 0.000, 0.000), Y at (0.000, 0.000, 0.500), As at (0.000, 0.500, 0.500) and S at (0.500, 0.500, 0.000).

For the total energy, the calculation gives -4.0897 eV/atom. As for the density of states at the Fermi level: 1.2031 states/eV/atom.

---

First-principles (PBE) data for a relaxed structure of CaYAsS, as listed in Alexandria via LeMat-Bulk.

The space group is R3m (No. 160, hexagonal axes) and the conventional cell measures 4.1010, 4.1010 and 20.1618 Å, with angles of 90.00, 90.00 and 120.00 degrees. Symmetry generates all atoms from Ca at (0.0000, 0.0000, 0.0000), Y at (0.0000, 0.0000, 0.5016), As at (0.0000, 0.0000, 0.2465) and S at (0.0000, 0.0000, 0.7530).

For the total energy, the calculation gives -6.0780 eV/atom. As for the density of states at the Fermi level: 0.0048 states/eV/atom.

---

First-principles (PBE) data for a relaxed structure of CaZnAsS2, as listed in Alexandria via LeMat-Bulk.

The space group is P4/mmm (No. 123) and the conventional cell measures 4.941, 4.941 and 5.431 Å, with angles of 90.00, 90.00 and 90.00 degrees. Symmetry generates all atoms from Ca at (0.000, 0.000, 0.000), Zn at (0.500, 0.500, 0.000), As at (0.000, 0.000, 0.500) and S at (0.000, 0.500, 0.500).

For the total energy, the calculation gives -3.2134 eV/atom. As for the density of states at the Fermi level: 0.5589 states/eV/atom.

---

First-principles (PBE) data for a relaxed structure of Ca2ZrAsS, as listed in Alexandria via LeMat-Bulk.

The space group is P4/mmm (No. 123) and the conventional cell measures 5.208, 5.208 and 4.868 Å, with angles of 90.00, 90.00 and 90.00 degrees. Symmetry generates all atoms from Ca at (0.000, 0.500, 0.000), Zr at (0.000, 0.000, 0.500), As at (0.500, 0.500, 0.500) and S at (0.000, 0.000, 0.000).

For the total energy, the calculation gives -4.9250 eV/atom. As for the density of states at the Fermi level: 0.8505 states/eV/atom.

---

First-principles (PBE) data for a relaxed structure of CaSb2As2, as listed in Alexandria via LeMat-Bulk.

The space group is P4/mbm (No. 127) and the conventional cell measures 8.357, 8.357 and 3.865 Å, with angles of 90.00, 90.00 and 90.00 degrees. Symmetry generates all atoms from Ca at (0.000, 0.000, 0.000), Sb at (0.141, 0.359, 0.000) and As at (0.199, 0.699, 0.500).

The relative energy among the computed polymorphs is 0.062 eV/atom. For the total energy, the calculation gives -4.1122 eV/atom. As for the density of states at the Fermi level: 0.4655 states/eV/atom.

---

First-principles (PBE) data for a relaxed structure of CaSb2As, as listed in Alexandria via LeMat-Bulk.

The space group is I-42d (No. 122) and the conventional cell measures 8.630, 8.630 and 6.054 Å, with angles of 90.00, 90.00 and 90.00 degrees. Symmetry generates all atoms from Ca at (0.000, 0.000, 0.000), Sb at (0.218, 0.250, 0.625) and As at (0.000, 0.000, 0.500).

For the total energy, the calculation gives -4.0309 eV/atom. As for the density of states at the Fermi level: 0.6236 states/eV/atom.

---

First-principles (PBE) data for a relaxed structure of CaSbAs, as listed in Alexandria via LeMat-Bulk.

The space group is P2_1/c (No. 14) and the conventional cell measures 5.979, 7.860 and 7.762 Å, with angles of 90.00, 110.51 and 90.00 degrees. Symmetry generates all atoms from Ca at (0.203, 0.202, 0.448), Sb at (0.398, 0.579, 0.659) and As at (0.195, 0.678, 0.899).

The relative energy among the computed polymorphs is 0.047 eV/atom. For the total energy, the calculation gives -4.2139 eV/atom. As for the density of states at the Fermi level: 0.1152 states/eV/atom.